Record 1
This record from Alexandria describes a geometry-optimized ZrPaGaAu structure. The functional is GGA-PBE.

Uncorrected energy = -101.045 eV per cell
Fermi-level density of states = 25.76 states/eV per cell

abc: 7.061 7.061 7.061
angles: 90.00 90.00 90.00
Fractional positions:
Zr: 0.000 0.000 0.000
Zr: 0.000 0.500 0.500
Zr: 0.500 0.000 0.500
Zr: 0.500 0.500 0.000
Pa: 0.000 0.000 0.500
Pa: 0.000 0.500 0.000
Pa: 0.500 0.000 0.000
Pa: 0.500 0.500 0.500
Ga: 0.250 0.250 0.750
Ga: 0.250 0.750 0.250
Ga: 0.750 0.250 0.250
Ga: 0.750 0.750 0.750
Au: 0.250 0.250 0.250
Au: 0.250 0.750 0.750
Au: 0.750 0.250 0.750
Au: 0.750 0.750 0.250

***

Record 2
This record from Alexandria describes a geometry-optimized ScTiSe2N structure. The functional is GGA-PBE.

Fermi-level density of states = 1.30 states/eV per cell
E_form (uncorrected) = -689 meV/atom
Energy above the most stable polymorph in this dataset = 0.0000 eV/atom

abc: 5.047 5.047 3.753
angles: 90.00 90.00 90.00
Fractional positions:
Sc: 0.000 0.000 0.000
Ti: 0.500 0.500 0.500
Se: 0.000 0.500 0.500
Se: 0.500 0.000 0.500
N: 0.500 0.500 0.000

***

Record 3
This record from Alexandria describes a geometry-optimized BaLi2ZnGa structure. The functional is GGA-PBE.

Fermi-level density of states = 3.32 states/eV per cell
Energy above the most stable polymorph in this dataset = 0.0309 eV/atom

abc: 5.142 5.142 4.811
angles: 90.00 90.00 90.00
Fractional positions:
Ba: 0.000 0.000 0.000
Li: 0.000 0.500 0.500
Li: 0.500 0.000 0.500
Zn: 0.500 0.500 0.500
Ga: 0.500 0.500 0.000

***

Record 4
This record from Alexandria describes a geometry-optimized Hg2AuF structure. The functional is GGA-PBE.

Fermi-level density of states = 5.70 states/eV per cell
E_form (uncorrected) = -380 meV/atom
Energy above the most stable polymorph in this dataset = 0.1201 eV/atom

abc: 6.729 6.729 6.729
angles: 90.00 90.00 90.00
Fractional positions:
Hg: 0.250 0.250 0.250
Hg: 0.250 0.250 0.750
Hg: 0.250 0.750 0.250
Hg: 0.250 0.750 0.750
Hg: 0.750 0.250 0.250
Hg: 0.750 0.250 0.750
Hg: 0.750 0.750 0.250
Hg: 0.750 0.750 0.750
Au: 0.000 0.000 0.000
Au: 0.000 0.500 0.500
Au: 0.500 0.000 0.500
Au: 0.500 0.500 0.000
F: 0.000 0.000 0.500
F: 0.000 0.500 0.000
F: 0.500 0.000 0.000
F: 0.500 0.500 0.500

***

Record 5
This record from Alexandria describes a geometry-optimized CePr2Pu3S6 structure. The functional is GGA-PBE.

Fermi-level density of states = 24.68 states/eV per cell
E_form (uncorrected) = -1910 meV/atom

abc: 8.985 8.985 8.059
angles: 103.06 103.06 25.78
Fractional positions:
Ce: 0.000 0.000 0.000
Pr: 0.333 0.333 0.665
Pr: 0.667 0.667 0.335
Pu: 0.000 0.000 0.500
Pu: 0.333 0.333 0.165
Pu: 0.667 0.667 0.835
S: 0.164 0.164 0.592
S: 0.168 0.168 0.076
S: 0.497 0.497 0.254
S: 0.503 0.503 0.746
S: 0.832 0.832 0.924
S: 0.836 0.836 0.408

***

Record 6
This record from Alexandria describes a geometry-optimized LiAs2Pd structure. The functional is GGA-PBE.

Fermi-level density of states = 0.86 states/eV per cell
Energy above the most stable polymorph in this dataset = 0.0568 eV/atom

abc: 4.087 4.087 3.853
angles: 90.00 90.00 90.00
Fractional positions:
Li: 0.000 0.000 0.000
As: 0.000 0.500 0.500
As: 0.500 0.000 0.500
Pd: 0.500 0.500 0.000

***

Record 7
This record from Alexandria describes a geometry-optimized YIn2Cu structure. The functional is GGA-PBE.

Uncorrected energy = -63.911 eV per cell
Fermi-level density of states = 9.74 states/eV per cell

abc: 4.309 4.309 21.334
angles: 90.00 90.00 90.00
Fractional positions:
Y: 0.000 0.000 0.000
Y: 0.000 0.500 0.250
Y: 0.500 0.000 0.750
Y: 0.500 0.500 0.500
In: 0.231 0.250 0.625
In: 0.250 0.731 0.875
In: 0.250 0.769 0.375
In: 0.269 0.250 0.125
In: 0.731 0.750 0.125
In: 0.750 0.231 0.375
In: 0.750 0.269 0.875
In: 0.769 0.750 0.625
Cu: 0.000 0.000 0.500
Cu: 0.000 0.500 0.750
Cu: 0.500 0.000 0.250
Cu: 0.500 0.500 0.000

***

Record 8
This record from Alexandria describes a geometry-optimized CaMo2Rh structure. The functional is GGA-PBE.

Fermi-level density of states = 4.42 states/eV per cell
Energy above the most stable polymorph in this dataset = 0.0958 eV/atom

abc: 2.866 2.866 8.732
angles: 90.00 90.00 90.00
Fractional positions:
Ca: 0.000 0.000 0.000
Mo: 0.000 0.000 0.546
Mo: 0.500 0.500 0.305
Rh: 0.500 0.500 0.740

***

Record 9
This record from Alexandria describes a geometry-optimized Al2NiSe structure. The functional is GGA-PBE.

Fermi-level density of states = 0.36 states/eV per cell
E_form (uncorrected) = -65 meV/atom

abc: 6.066 6.066 9.022
angles: 90.00 90.00 90.00
Fractional positions:
Al: 0.224 0.250 0.125
Al: 0.250 0.724 0.375
Al: 0.250 0.776 0.875
Al: 0.276 0.250 0.625
Al: 0.724 0.750 0.625
Al: 0.750 0.224 0.875
Al: 0.750 0.276 0.375
Al: 0.776 0.750 0.125
Ni: 0.000 0.000 0.000
Ni: 0.000 0.500 0.250
Ni: 0.500 0.000 0.750
Ni: 0.500 0.500 0.500
Se: 0.000 0.000 0.500
Se: 0.000 0.500 0.750
Se: 0.500 0.000 0.250
Se: 0.500 0.500 0.000

***

Record 10
This record from Alexandria describes a geometry-optimized SmSi2 structure. The functional is GGA-PBE.

Fermi-level density of states = 4.39 states/eV per cell
E_form (uncorrected) = -587 meV/atom

abc: 4.104 4.104 14.302
angles: 90.00 90.00 90.00
Fractional positions:
Sm: 0.000 0.250 0.375
Sm: 0.000 0.750 0.625
Sm: 0.500 0.250 0.125
Sm: 0.500 0.750 0.875
Si: 0.000 0.250 0.792
Si: 0.000 0.250 0.958
Si: 0.000 0.750 0.042
Si: 0.000 0.750 0.208
Si: 0.500 0.250 0.542
Si: 0.500 0.250 0.708
Si: 0.500 0.750 0.292
Si: 0.500 0.750 0.458

***

Record 11
This record from Alexandria describes a geometry-optimized Ta5Ir4 structure. The functional is GGA-PBE.

Fermi-level density of states = 7.75 states/eV per cell
Energy above the most stable polymorph in this dataset = 0.0691 eV/atom

abc: 6.373 6.373 6.373
angles: 95.85 95.85 142.78
Fractional positions:
Ta: 0.000 0.000 0.000
Ta: 0.326 0.326 0.652
Ta: 0.326 0.674 0.000
Ta: 0.674 0.326 0.000
Ta: 0.674 0.674 0.348
Ir: 0.000 0.340 0.340
Ir: 0.000 0.660 0.660
Ir: 0.340 0.000 0.340
Ir: 0.660 0.000 0.660

***

Record 12
This record from Alexandria describes a geometry-optimized FeBi2C structure. The functional is GGA-PBE.

Uncorrected energy = -80.910 eV per cell
Fermi-level density of states = 4.46 states/eV per cell

abc: 5.848 5.848 10.469
angles: 90.00 90.00 90.00
Fractional positions:
Fe: 0.000 0.000 0.000
Fe: 0.000 0.500 0.250
Fe: 0.500 0.000 0.750
Fe: 0.500 0.500 0.500
Bi: 0.222 0.250 0.625
Bi: 0.250 0.722 0.875
Bi: 0.250 0.778 0.375
Bi: 0.278 0.250 0.125
Bi: 0.722 0.750 0.125
Bi: 0.750 0.222 0.375
Bi: 0.750 0.278 0.875
Bi: 0.778 0.750 0.625
C: 0.000 0.000 0.500
C: 0.000 0.500 0.750
C: 0.500 0.000 0.250
C: 0.500 0.500 0.000

***

Record 13
This record from Alexandria describes a geometry-optimized La2MnZn structure. The functional is GGA-PBE.

Uncorrected energy = -38.835 eV per cell
Fermi-level density of states = 8.65 states/eV per cell

abc: 7.388 3.550 8.511
angles: 90.00 99.64 90.00
Fractional positions:
La: 0.246 0.000 0.269
La: 0.254 0.500 0.731
La: 0.746 0.500 0.269
La: 0.754 0.000 0.731
Mn: 0.000 0.000 0.500
Mn: 0.500 0.500 0.500
Zn: 0.000 0.500 0.000
Zn: 0.500 0.000 0.000

***

Record 14
This record from Alexandria describes a geometry-optimized PIr2Se structure. The functional is GGA-PBE.

Fermi-level density of states = 5.10 states/eV per cell
E_form (uncorrected) = 353 meV/atom

abc: 2.869 4.535 9.564
angles: 90.00 90.00 90.00
Fractional positions:
P: 0.000 0.000 0.000
P: 0.500 0.500 0.500
Ir: 0.000 0.000 0.526
Ir: 0.000 0.500 0.290
Ir: 0.500 0.000 0.790
Ir: 0.500 0.500 0.026
Se: 0.000 0.500 0.794
Se: 0.500 0.000 0.294

***

Record 15
This record from Alexandria describes a geometry-optimized K5Na2Hg5 structure. The functional is GGA-PBE.

Uncorrected energy = -11.731 eV per cell
Fermi-level density of states = 7.05 states/eV per cell

abc: 15.624 15.624 15.624
angles: 21.47 21.47 21.47
Fractional positions:
K: 0.000 0.000 0.000
K: 0.193 0.193 0.193
K: 0.280 0.280 0.280
K: 0.720 0.720 0.720
K: 0.807 0.807 0.807
Na: 0.430 0.430 0.430
Na: 0.570 0.570 0.570
Hg: 0.090 0.090 0.090
Hg: 0.358 0.358 0.358
Hg: 0.500 0.500 0.500
Hg: 0.642 0.642 0.642
Hg: 0.910 0.910 0.910

***

Record 16
This record from Alexandria describes a geometry-optimized LaInP structure. The functional is GGA-PBE.

Uncorrected energy = -53.617 eV per cell
Fermi-level density of states = 6.89 states/eV per cell

abc: 7.029 7.029 7.029
angles: 90.00 90.00 90.00
Fractional positions:
La: 0.000 0.000 0.000
La: 0.000 0.500 0.500
La: 0.500 0.000 0.500
La: 0.500 0.500 0.000
In: 0.250 0.250 0.750
In: 0.250 0.750 0.250
In: 0.750 0.250 0.250
In: 0.750 0.750 0.750
P: 0.000 0.000 0.500
P: 0.000 0.500 0.000
P: 0.500 0.000 0.000
P: 0.500 0.500 0.500

***

Record 17
This record from Alexandria describes a geometry-optimized Ac2Pr2Ge2N structure. The functional is GGA-PBE.

Fermi-level density of states = 9.21 states/eV per cell
E_form (uncorrected) = -838 meV/atom

abc: 4.927 4.927 16.626
angles: 90.00 90.00 90.00
Fractional positions:
Ac: 0.000 0.000 0.172
Ac: 0.000 0.000 0.828
Ac: 0.500 0.500 0.328
Ac: 0.500 0.500 0.672
Pr: 0.000 0.500 0.000
Pr: 0.000 0.500 0.500
Pr: 0.500 0.000 0.000
Pr: 0.500 0.000 0.500
Ge: 0.000 0.000 0.368
Ge: 0.000 0.000 0.632
Ge: 0.500 0.500 0.132
Ge: 0.500 0.500 0.868
N: 0.000 0.000 0.000
N: 0.500 0.500 0.500

***

Record 18
This record from Alexandria describes a geometry-optimized Pr4In structure. The functional is GGA-PBE.

Fermi-level density of states = 9.86 states/eV per cell
Energy above the most stable polymorph in this dataset = 0.4989 eV/atom

abc: 5.963 5.963 5.963
angles: 90.00 90.00 90.00
Fractional positions:
Pr: 0.000 0.000 0.000
Pr: 0.000 0.500 0.500
Pr: 0.500 0.000 0.500
Pr: 0.500 0.500 0.000
In: 0.500 0.500 0.500